This record from OQMD via LeMat-Bulk describes an optimized crystal structure of SrHg2Cl2O2. The functional is PBE.

The structure in extended XYZ format:
```
28
Lattice="10.046 0.000 0.002 0.000 7.078 0.000 -1.802 0.000 8.178" Properties=species:S:1:pos:R:3 pbc="T T T"
Hg 7.880 3.993 5.127
Hg 3.758 6.625 1.036
Hg 6.959 2.350 7.962
Hg 1.284 4.728 0.219
Hg 2.838 1.189 3.871
Hg 5.406 5.890 4.309
Hg 4.485 0.453 7.144
Hg 0.363 3.086 3.054
O 1.065 5.802 7.505
O -1.431 2.990 6.795
O 6.989 4.815 3.417
O 7.178 1.276 0.676
O 9.675 4.089 1.386
O 3.751 6.529 5.474
O 1.255 2.263 4.764
O 4.492 0.549 2.707
Cl 4.991 2.828 5.387
Cl 0.870 0.711 1.297
Cl 0.311 5.821 4.364
Cl 6.235 4.796 0.276
Cl 3.252 4.250 2.793
Cl 7.374 6.368 6.884
Cl 7.932 1.257 3.816
Cl 2.008 2.282 7.905
Sr 2.462 4.397 5.912
Sr -0.142 0.858 6.357
Sr 5.781 2.681 2.269
Sr 8.386 6.220 1.823
```

Uncorrected energy in eV/atom: -3.536